Record 1
# Pm2SiAg3, optimized geometry, DFT PBE
data_Pm2SiAg3
_chemical_formula_sum 'Pm2 Si1 Ag3'
_space_group_name_H-M_alt 'P 1'
_space_group_IT_number 1
_cell_length_a 3.679
_cell_length_b 4.519
_cell_length_c 8.245
_cell_angle_alpha 90.00
_cell_angle_beta 90.00
_cell_angle_gamma 90.00
loop_
_space_group_symop_operation_xyz
'x,y,z'
loop_
_atom_site_label
_atom_site_fract_x
_atom_site_fract_y
_atom_site_fract_z
Pm1 0.000 0.000 0.000
Pm2 0.000 0.500 0.478
Si1 0.500 0.000 0.322
Ag1 0.500 0.000 0.641
Ag2 0.500 0.500 0.167
Ag3 0.500 0.500 0.830
# Calculated density in g/cm3: 7.8
# Space group: Pmm2, No. 25
# Energy relative to the elements, uncorrected in kJ/mol of atoms: -34
# Size of the total moment in μB/f.u.: 0.00
# V in Å³/atom: 22.85


Record 2
# RbTbIn2Br6, optimized geometry, DFT PBE
data_RbTbIn2Br6
_chemical_formula_sum 'Rb1 Tb1 In2 Br6'
_space_group_name_H-M_alt 'P 1'
_space_group_IT_number 1
_cell_length_a 8.203
_cell_length_b 8.207
_cell_length_c 8.530
_cell_angle_alpha 61.26
_cell_angle_beta 61.27
_cell_angle_gamma 60.03
loop_
_space_group_symop_operation_xyz
'x,y,z'
loop_
_atom_site_label
_atom_site_fract_x
_atom_site_fract_y
_atom_site_fract_z
Rb1 0.000 0.000 0.000
Tb1 0.510 0.510 0.469
In1 0.201 0.200 0.398
In2 0.708 0.709 0.874
Br1 0.168 0.746 0.680
Br2 0.327 0.592 0.214
Br3 0.406 0.168 0.679
Br4 0.592 0.867 0.214
Br5 0.747 0.405 0.679
Br6 0.867 0.327 0.213
# Calculated density in g/cm3: 3.8
# Space group: P1, No. 1
# Energy relative to the elements, uncorrected in kJ/mol of atoms: -133
# Size of the total moment in μB/f.u.: 0.00
# V in Å³/atom: 41.37


Record 3
# Er3UTl4S8, optimized geometry, DFT PBE
data_Er3UTl4S8
_chemical_formula_sum 'Er3 U1 Tl4 S8'
_space_group_name_H-M_alt 'P 1'
_space_group_IT_number 1
_cell_length_a 8.872
_cell_length_b 8.872
_cell_length_c 8.872
_cell_angle_alpha 53.68
_cell_angle_beta 53.68
_cell_angle_gamma 53.68
loop_
_space_group_symop_operation_xyz
'x,y,z'
loop_
_atom_site_label
_atom_site_fract_x
_atom_site_fract_y
_atom_site_fract_z
Er1 0.000 0.500 0.500
Er2 0.500 0.000 0.500
Er3 0.500 0.500 0.000
U1 0.000 0.000 0.000
Tl1 0.000 0.000 0.500
Tl2 0.000 0.500 0.000
Tl3 0.500 0.000 0.000
Tl4 0.500 0.500 0.500
S1 0.233 0.233 0.730
S2 0.233 0.730 0.233
S3 0.269 0.269 0.269
S4 0.270 0.767 0.767
S5 0.730 0.233 0.233
S6 0.731 0.731 0.731
S7 0.767 0.270 0.767
S8 0.767 0.767 0.270
# Calculated density in g/cm3: 7.2
# Space group: R-3m, No. 166
# Energy relative to the elements, uncorrected in kJ/mol of atoms: -131
# Size of the total moment in μB/f.u.: 3.01
# V in Å³/atom: 26.30